# La2YTm8 | Alexandria | PBE-GGA | optimized geometry
data_La2YTm8
_cell_length_a 5.023
_cell_length_b 7.926
_cell_length_c 9.383
_cell_angle_alpha 104.65
_cell_angle_beta 105.53
_cell_angle_gamma 90.00
_space_group_name_H-M_alt 'P 1'
_space_group_IT_number 1
loop_
_space_group_symop_operation_xyz
'x,y,z'
loop_
_atom_site_label
_atom_site_type_symbol
_atom_site_fract_x
_atom_site_fract_y
_atom_site_fract_z
Tm1 Tm 0.589 0.454 0.177
Tm2 Tm 0.681 0.907 0.361
Tm3 Tm 0.319 0.093 0.639
Tm4 Tm 0.043 0.727 0.087
Tm5 Tm 0.135 0.175 0.269
Tm6 Tm 0.411 0.546 0.823
Tm7 Tm 0.865 0.825 0.731
Tm8 Tm 0.957 0.273 0.913
La1 La 0.773 0.362 0.545
La2 La 0.227 0.638 0.455
Y1 Y 0.500 0.000 0.000
# Symmetry = C2/m (12)
# Energy of formation from the pure elements = 0.04 eV/atom
# E_tot = -4.6975 eV/atom
# Offset from the most stable computed form = 0.00 eV per formula unit
# Magnetization = 0.00 μB per atom
# DOS at the Fermi energy = 1.57 states/eV/atom

=====

# LaYTm4 | Alexandria | PBE-GGA | optimized geometry
data_LaYTm4
_cell_length_a 3.391
_cell_length_b 5.795
_cell_length_c 9.964
_cell_angle_alpha 90.00
_cell_angle_beta 90.00
_cell_angle_gamma 90.00
_space_group_name_H-M_alt 'P 1'
_space_group_IT_number 1
loop_
_space_group_symop_operation_xyz
'x,y,z'
loop_
_atom_site_label
_atom_site_type_symbol
_atom_site_fract_x
_atom_site_fract_y
_atom_site_fract_z
Y1 Y 0.497 0.501 0.002
Tm1 Tm 0.997 0.501 0.695
Tm2 Tm 0.497 0.001 0.818
Tm3 Tm 0.997 0.501 0.309
Tm4 Tm 0.497 0.001 0.185
La1 La 0.997 0.001 0.502
# Symmetry = Pmmm (47)
# Energy of formation from the pure elements = 0.21 eV/atom
# E_tot = -4.6728 eV/atom
# Offset from the most stable computed form = 0.36 eV per formula unit
# Magnetization = 0.00 μB per atom
# DOS at the Fermi energy = 2.21 states/eV/atom

=====

# La3Y12Tm | Alexandria | PBE-GGA | optimized geometry
data_La3Y12Tm
_cell_length_a 5.095
_cell_length_b 5.095
_cell_length_c 20.399
_cell_angle_alpha 90.00
_cell_angle_beta 90.00
_cell_angle_gamma 90.00
_space_group_name_H-M_alt 'P 1'
_space_group_IT_number 1
loop_
_space_group_symop_operation_xyz
'x,y,z'
loop_
_atom_site_label
_atom_site_type_symbol
_atom_site_fract_x
_atom_site_fract_y
_atom_site_fract_z
Y1 Y 0.500 0.000 0.121
Y2 Y 0.500 0.500 0.753
Y3 Y 0.500 0.000 0.374
Y4 Y 0.500 0.500 0.500
Y5 Y 0.000 0.500 0.879
Y6 Y 0.500 0.500 0.247
Y7 Y 0.500 0.000 0.879
Y8 Y 0.000 0.500 0.626
Y9 Y 0.000 0.500 0.374
Y10 Y 0.500 0.500 0.000
Y11 Y 0.500 0.000 0.626
Y12 Y 0.000 0.500 0.121
La1 La 0.000 0.000 0.249
La2 La 0.000 0.000 0.500
La3 La 0.000 0.000 0.751
Tm1 Tm 0.000 0.000 0.000
# Symmetry = P4/mmm (123)
# Energy of formation from the pure elements = 0.03 eV/atom
# E_tot = -6.0191 eV/atom
# Magnetization = 0.00 μB per atom
# DOS at the Fermi energy = 1.66 states/eV/atom

=====

# La3Y3Tm4 | Alexandria | PBE-GGA | optimized geometry
data_La3Y3Tm4
_cell_length_a 3.704
_cell_length_b 9.553
_cell_length_c 9.553
_cell_angle_alpha 89.97
_cell_angle_beta 90.00
_cell_angle_gamma 90.00
_space_group_name_H-M_alt 'P 1'
_space_group_IT_number 1
loop_
_space_group_symop_operation_xyz
'x,y,z'
loop_
_atom_site_label
_atom_site_type_symbol
_atom_site_fract_x
_atom_site_fract_y
_atom_site_fract_z
Tm1 Tm 0.000 0.623 0.377
Tm2 Tm 0.000 0.873 0.881
Tm3 Tm 0.000 0.119 0.127
Tm4 Tm 0.000 0.381 0.619
Y1 Y 0.500 0.674 0.672
Y2 Y 0.500 0.328 0.326
Y3 Y 0.500 0.825 0.175
La1 La 0.000 0.997 0.494
La2 La 0.500 0.174 0.826
La3 La 0.000 0.506 0.003
# Symmetry = Amm2 (38)
# Energy of formation from the pure elements = 0.08 eV/atom
# E_tot = -5.1225 eV/atom
# Magnetization = 0.00 μB per atom
# DOS at the Fermi energy = 1.35 states/eV/atom

=====

# La2Y12Tm | Alexandria | PBE-GGA | optimized geometry
data_La2Y12Tm
_cell_length_a 6.740
_cell_length_b 6.740
_cell_length_c 24.953
_cell_angle_alpha 90.00
_cell_angle_beta 90.00
_cell_angle_gamma 116.21
_space_group_name_H-M_alt 'P 1'
_space_group_IT_number 1
loop_
_space_group_symop_operation_xyz
'x,y,z'
loop_
_atom_site_label
_atom_site_type_symbol
_atom_site_fract_x
_atom_site_fract_y
_atom_site_fract_z
La1 La 0.000 0.500 0.267
La2 La 0.500 0.000 0.267
La3 La 0.000 0.500 0.733
La4 La 0.500 0.000 0.733
Y1 Y 0.000 0.000 0.327
Y2 Y 0.000 0.000 0.803
Y3 Y 0.500 0.500 0.327
Y4 Y 0.750 0.250 0.585
Y5 Y 0.250 0.750 0.124
Y6 Y 0.750 0.750 0.925
Y7 Y 0.250 0.250 0.075
Y8 Y 0.250 0.750 0.585
Y9 Y 0.750 0.750 0.075
Y10 Y 0.000 0.000 0.673
Y11 Y 0.750 0.250 0.415
Y12 Y 0.750 0.250 0.876
Y13 Y 0.500 0.500 0.803
Y14 Y 0.250 0.250 0.438
Y15 Y 0.500 0.500 0.673
Y16 Y 0.250 0.250 0.925
Y17 Y 0.000 0.000 0.197
Y18 Y 0.750 0.750 0.562
Y19 Y 0.750 0.750 0.438
Y20 Y 0.500 0.500 0.197
Y21 Y 0.250 0.750 0.876
Y22 Y 0.250 0.250 0.562
Y23 Y 0.750 0.250 0.124
Y24 Y 0.250 0.750 0.415
Tm1 Tm 0.000 0.500 0.000
Tm2 Tm 0.500 0.000 0.000
# Symmetry = Cmme (67)
# Energy of formation from the pure elements = 0.16 eV/atom
# E_tot = -5.9635 eV/atom
# Magnetization = 0.00 μB per atom
# DOS at the Fermi energy = 1.78 states/eV/atom

=====

# La6Y12Tm | Alexandria | PBE-GGA | optimized geometry
data_La6Y12Tm
_cell_length_a 10.084
_cell_length_b 10.084
_cell_length_c 10.084
_cell_angle_alpha 112.81
_cell_angle_beta 112.81
_cell_angle_gamma 112.81
_space_group_name_H-M_alt 'P 1'
_space_group_IT_number 1
loop_
_space_group_symop_operation_xyz
'x,y,z'
loop_
_atom_site_label
_atom_site_type_symbol
_atom_site_fract_x
_atom_site_fract_y
_atom_site_fract_z
La1 La 0.668 0.370 0.668
La2 La 0.370 0.668 0.668
La3 La 0.332 0.332 0.630
La4 La 0.630 0.332 0.332
La5 La 0.332 0.630 0.332
La6 La 0.668 0.668 0.370
Y1 Y 0.908 0.231 0.231
Y2 Y 0.888 0.112 0.500
Y3 Y 0.092 0.769 0.769
Y4 Y 0.231 0.231 0.908
Y5 Y 0.112 0.888 0.500
Y6 Y 0.769 0.092 0.769
Y7 Y 0.500 0.888 0.112
Y8 Y 0.888 0.500 0.112
Y9 Y 0.231 0.908 0.231
Y10 Y 0.112 0.500 0.888
Y11 Y 0.769 0.769 0.092
Y12 Y 0.500 0.112 0.888
Tm1 Tm 0.000 0.000 0.000
# Symmetry = R-3m (166)
# Energy of formation from the pure elements = 0.32 eV/atom
# E_tot = -5.5587 eV/atom
# Magnetization = 0.00 μB per atom
# DOS at the Fermi energy = 1.51 states/eV/atom